# Zr2Mn3, single point on PBEsol structure, DFT SCAN
data_Zr2Mn3
_chemical_formula_sum 'Zr16 Mn24'
_cell_length_a 9.180
_cell_length_b 12.631
_cell_length_c 5.240
_cell_angle_alpha 90.00
_cell_angle_beta 90.00
_cell_angle_gamma 90.00
_space_group_name_H-M_alt 'F d d 2'
_space_group_IT_number 43
_space_group_name_Hall 'F 2 -2d'
loop_
_atom_site_label
_atom_site_type_symbol
_atom_site_fract_x
_atom_site_fract_y
_atom_site_fract_z
Zr1 Zr 0.085 0.201 0.000
Mn1 Mn 0.000 0.000 0.242
Mn2 Mn 0.083 0.126 0.495
# Energy of formation ... -10.3 kJ/mol of atoms